A plane-wave DFT calculation with PBE was carried out for a relaxed YErIn3 crystal.

The value obtained for the density of states at the Fermi level is 22.13 states/eV/cell. As for the energy above the most stable polymorph in this dataset: 0 meV per atom. As for the crystal system: trigonal. The calculation puts the formation energy from the elements at -0.350 eV/atom.

It has space group R-3m (No. 166, hexagonal axes), with a = 6.3645 Å, b = 6.3645 Å, c = 22.9225 Å, α = 90.00°, β = 90.00° and γ = 120.00°. Symmetry generates all atoms from Y at (0.0000, 0.0000, 0.1658), Er at (0.0000, 0.0000, 0.4193) and In at (0.0068, 0.5034, 0.3859).



A plane-wave DFT calculation with PBE was carried out for a relaxed Tb2Dy4YHo2 crystal.

The value obtained for the density of states at the Fermi level is 24.05 states/eV/cell. As for the crystal system: monoclinic. The calculation puts the formation energy from the elements at 0.003 eV/atom.

It has space group C2/m (No. 12), with a = 18.5888 Å, b = 3.5794 Å, c = 9.5032 Å, α = 90.00°, β = 115.74° and γ = 90.00°. Symmetry generates all atoms from Tb at (0.1481, 0.0000, 0.1669), Dy at (0.0188, 0.5000, 0.8344), Dy at (0.1854, 0.0000, 0.8336), Y at (0.0000, 0.0000, 0.5000) and Ho at (0.1671, 0.5000, 0.5003).



A plane-wave DFT calculation with PBE was carried out for a relaxed YTlO crystal.

The uncorrected formation energy is -1.76 eV per atom. The value obtained for the density of states at the Fermi level is 2.15 states/eV/cell. As for the energy above the most stable polymorph in this dataset: 302 meV per atom. As for the crystal system: hexagonal.

It has space group P-6m2 (No. 187), with a = 3.7463 Å, b = 3.7463 Å, c = 6.0551 Å, α = 90.00°, β = 90.00° and γ = 120.00°. Symmetry generates all atoms from Y at (0.0000, 0.0000, 0.0000), Tl at (0.3333, 0.6667, 0.5000) and O at (0.6667, 0.3333, 0.0000).



A plane-wave DFT calculation with PBE was carried out for a relaxed HgAsIN2 crystal.

The uncorrected formation energy is 1.33 eV per atom. The value obtained for the density of states at the Fermi level is 1.97 states/eV/cell. As for the energy above the most stable polymorph in this dataset: 0 meV per atom. As for the crystal system: tetragonal.

It has space group P4/mmm (No. 123), with a = 3.9683 Å, b = 3.9683 Å, c = 7.1860 Å, α = 90.00°, β = 90.00° and γ = 90.00°. Symmetry generates all atoms from Hg at (0.0000, 0.0000, 0.0000), As at (0.5000, 0.5000, 0.5000), I at (0.5000, 0.5000, 0.0000) and N at (0.0000, 0.5000, 0.5000).



A plane-wave DFT calculation with PBE was carried out for a relaxed Cs2CaPb crystal.

The value obtained for the density of states at the Fermi level is 12.97 states/eV/cell. As for the energy above the most stable polymorph in this dataset: 55 meV per atom. As for the crystal system: cubic. The calculation puts the formation energy from the elements at 0.220 eV/atom.

It has space group Fm-3m (No. 225), with a = 9.4207 Å, b = 9.4207 Å, c = 9.4207 Å, α = 90.00°, β = 90.00° and γ = 90.00°. Symmetry generates all atoms from Cs at (0.2500, 0.2500, 0.2500), Ca at (0.0000, 0.0000, 0.0000) and Pb at (0.0000, 0.0000, 0.5000).



A plane-wave DFT calculation with PBE was carried out for a relaxed AcHgBiPb crystal.

The value obtained for the density of states at the Fermi level is 10.30 states/eV/cell. As for the energy above the most stable polymorph in this dataset: 84 meV per atom. As for the crystal system: cubic. The calculation puts the formation energy from the elements at -0.391 eV/atom.

It has space group F-43m (No. 216), with a = 8.0412 Å, b = 8.0412 Å, c = 8.0412 Å, α = 90.00°, β = 90.00° and γ = 90.00°. Symmetry generates all atoms from Ac at (0.0000, 0.0000, 0.0000), Hg at (0.2500, 0.2500, 0.2500), Bi at (0.2500, 0.2500, 0.7500) and Pb at (0.0000, 0.0000, 0.5000).



A plane-wave DFT calculation with PBE was carried out for a relaxed CaLa2Mg crystal.

The value obtained for the density of states at the Fermi level is 21.09 states/eV/cell. As for the crystal system: monoclinic. The calculation puts the formation energy from the elements at -0.004 eV/atom.

It has space group C2/m (No. 12), with a = 7.7380 Å, b = 7.7315 Å, c = 10.0028 Å, α = 90.00°, β = 112.68° and γ = 90.00°. Symmetry generates all atoms from Ca at (0.1441, 0.0000, 0.2879), La at (0.1338, 0.5000, 0.2675), La at (0.2500, 0.2500, 0.0000) and Mg at (0.0000, 0.2497, 0.5000).



A plane-wave DFT calculation with PBE was carried out for a relaxed ReOs2Pt crystal.

The value obtained for the density of states at the Fermi level is 11.76 states/eV/cell. As for the energy above the most stable polymorph in this dataset: 1149 meV per atom. As for the crystal system: tetragonal. The calculation puts the formation energy from the elements at 1.208 eV/atom.

It has space group I-42d (No. 122), with a = 5.7948 Å, b = 5.7948 Å, c = 10.4766 Å, α = 90.00°, β = 90.00° and γ = 90.00°. Symmetry generates all atoms from Re at (0.0000, 0.0000, 0.0000), Os at (0.2437, 0.2500, 0.1250) and Pt at (0.0000, 0.0000, 0.5000).



A plane-wave DFT calculation with PBE was carried out for a relaxed CrCo2Os crystal.

The value obtained for the density of states at the Fermi level is 15.95 states/eV/cell. As for the energy above the most stable polymorph in this dataset: 163 meV per atom. As for the crystal system: trigonal. The calculation puts the formation energy from the elements at 0.175 eV/atom.

It has space group R3m (No. 160, hexagonal axes), with a = 2.6128 Å, b = 2.6128 Å, c = 24.8910 Å, α = 90.00°, β = 90.00° and γ = 120.00°. Symmetry generates all atoms from Cr at (0.0000, 0.0000, 0.0000), Co at (0.0000, 0.0000, 0.2514), Co at (0.0000, 0.0000, 0.5063) and Os at (0.0000, 0.0000, 0.7506).



A plane-wave DFT calculation with PBE was carried out for a relaxed NaSm5Cd6 crystal.

The value obtained for the density of states at the Fermi level is 24.34 states/eV/cell. As for the crystal system: orthorhombic. The calculation puts the formation energy from the elements at -0.272 eV/atom.

It has space group Cmmm (No. 65), with a = 5.3694 Å, b = 16.0256 Å, c = 7.6388 Å, α = 90.00°, β = 90.00° and γ = 90.00°. Symmetry generates all atoms from Na at (0.0000, 0.0000, 0.0000), Sm at (0.0000, 0.0000, 0.5000), Sm at (0.0000, 0.3316, 0.5000), Sm at (0.0000, 0.3351, 0.0000), Cd at (0.0000, 0.1651, 0.2450) and Cd at (0.0000, 0.5000, 0.2523).



A plane-wave DFT calculation with PBE was carried out for a relaxed Y2Ho3Sc7 crystal.

The value obtained for the density of states at the Fermi level is 20.75 states/eV/cell. As for the crystal system: monoclinic. The calculation puts the formation energy from the elements at 0.267 eV/atom.

It has space group P2/m (No. 10), with a = 3.5178 Å, b = 5.2681 Å, c = 18.9634 Å, α = 90.00°, β = 95.33° and γ = 90.00°. Symmetry generates all atoms from Y at (0.1374, 0.0000, 0.2736), Ho at (0.0000, 0.0000, 0.0000), Ho at (0.3251, 0.5000, 0.6510), Sc at (0.0816, 0.5000, 0.1623), Sc at (0.2167, 0.0000, 0.4334), Sc at (0.4329, 0.0000, 0.8667) and Sc at (0.5000, 0.5000, 0.0000).



A plane-wave DFT calculation with PBE was carried out for a relaxed SrDyMgAl crystal.

The value obtained for the density of states at the Fermi level is 11.24 states/eV/cell. As for the crystal system: cubic. The calculation puts the formation energy from the elements at -0.105 eV/atom.

It has space group F-43m (No. 216), with a = 7.6969 Å, b = 7.6969 Å, c = 7.6969 Å, α = 90.00°, β = 90.00° and γ = 90.00°. Symmetry generates all atoms from Sr at (0.0000, 0.0000, 0.0000), Dy at (0.0000, 0.0000, 0.5000), Mg at (0.2500, 0.2500, 0.2500) and Al at (0.2500, 0.2500, 0.7500).



A plane-wave DFT calculation with PBE was carried out for a relaxed YSeCl4 crystal.

The uncorrected formation energy is -0.18 eV per atom. The value obtained for the density of states at the Fermi level is 28.82 states/eV/cell. As for the crystal system: cubic.

It has space group F-43m (No. 216), with a = 8.1493 Å, b = 8.1493 Å, c = 8.1493 Å, α = 90.00°, β = 90.00° and γ = 90.00°. Symmetry generates all atoms from Y at (0.0000, 0.0000, 0.0000), Se at (0.2500, 0.2500, 0.2500) and Cl at (0.1258, 0.1258, 0.6258).